# 1
Below is LiBeO2 after structural relaxation, with properties calculated at the PBE level.

Values from the calculation:
energy = -5.29 eV per atom
raw formation energy = -1405 meV per atom
space-group type = R-3m, No. 166
M_tot = 1.00 μB/f.u.

The structure in extended XYZ format:
```
4
Lattice="1.434 0.828 5.303 -1.434 0.828 5.303 0.000 -1.656 5.303" Properties=species:S:1:pos:R:3 pbc="T T T"
Li 0.000 0.000 0.000
Be 0.000 0.000 7.955
O 0.000 0.000 6.526
O 0.000 0.000 9.384
```

***

# 2
Below is K3Tm3PaTe8 after structural relaxation, with properties calculated at the PBE level.

Values from the calculation:
energy = -4.68 eV per atom
raw formation energy = -1259 meV per atom
space-group type = R-3m, No. 166
M_tot = 1.03 μB/f.u.

The structure in extended XYZ format:
```
15
Lattice="4.425 2.555 8.364 -4.425 2.555 8.364 0.000 -5.109 8.364" Properties=species:S:1:pos:R:3 pbc="T T T"
K -2.212 -1.277 8.364
K -2.212 1.277 16.728
K 0.000 2.555 8.364
Tm -4.425 0.000 12.546
Tm -2.212 1.277 4.182
Tm 2.212 1.277 4.182
Pa 0.000 0.000 12.546
Te -2.245 -1.296 14.270
Te 0.000 0.000 5.896
Te 0.000 -2.593 10.822
Te -2.245 1.296 10.822
Te 2.245 -1.296 14.270
Te 0.000 2.593 14.270
Te 0.000 0.000 19.196
Te 2.245 1.296 10.822
```

***

# 3
Below is SmSnSb3 after structural relaxation, with properties calculated at the PBE level.

Values from the calculation:
energy = -4.63 eV per atom
raw formation energy = -411 meV per atom
space-group type = Pbcm, No. 57
M_tot = 0.00 μB/f.u.

The structure in extended XYZ format:
```
20
Lattice="14.418 0.000 0.000 0.000 6.175 0.000 0.000 0.000 6.432" Properties=species:S:1:pos:R:3 pbc="T T T"
Sm 2.449 0.004 1.608
Sm 2.449 3.083 4.824
Sm 11.968 3.091 1.608
Sm 11.968 6.171 4.824
Sn 5.594 1.544 0.000
Sn 5.594 1.544 3.216
Sn 8.824 4.631 0.000
Sn 8.824 4.631 3.216
Sb 0.012 1.544 0.000
Sb 0.012 1.544 3.216
Sb 3.241 3.121 1.608
Sb 3.241 6.141 4.824
Sb 5.746 4.415 4.824
Sb 5.746 4.847 1.608
Sb 8.671 1.328 4.824
Sb 8.671 1.760 1.608
Sb 11.177 0.034 1.608
Sb 11.177 3.054 4.824
Sb 14.406 4.631 0.000
Sb 14.406 4.631 3.216
```

***

What is the M_tot in the third record? 0.00 μB/f.u.